No. 1
Density functional theory data (PBE-GGA) for a relaxed structure of NaThTlSn.

The energy of formation from the pure elements is -0.142 eV per atom. For the density of states at the Fermi level, the calculation gives 13.55 states/eV per cell. For the total energy, the calculation gives -0.2880 Ry/atom.

The structure belongs to space group F-43m (No. 216); the cell edges are 7.6693, 7.6693 and 7.6693 Å and the angles 90.00°, 90.00° and 90.00°. Symmetry generates all atoms from Na at (0.0000, 0.0000, 0.0000), Th at (0.0000, 0.0000, 0.5000), Tl at (0.2500, 0.2500, 0.7500) and Sn at (0.2500, 0.2500, 0.2500).

---

No. 2
Density functional theory data (PBE-GGA) for a relaxed structure of NaTi2Sn.

The energy of formation from the pure elements is 0.555 eV per atom. For the density of states at the Fermi level, the calculation gives 18.96 states/eV per cell. For the total energy, the calculation gives -0.3471 Ry/atom.

The structure belongs to space group I-42d (No. 122); the cell edges are 7.8361, 7.8361 and 5.5766 Å and the angles 90.00°, 90.00° and 90.00°. Symmetry generates all atoms from Na at (0.0000, 0.0000, 0.0000), Ti at (0.2384, 0.2500, 0.6250) and Sn at (0.0000, 0.0000, 0.5000).